An optimized crystal structure of TiHOs2Pt. Source: Alexandria via LeMat-Bulk, functional GGA-PBE.

E_tot   -8.25 eV/atom
Calculated volume   60.9 Å³ per cell
SG   P4/mmm, No. 123

abc: 3.910 3.910 3.982
angles: 90.00 90.00 90.00
Fractional coordinates of all 5 atoms:
Pt  0.500  0.500  0.500
Os  0.500  0.000  0.000
Os  0.000  0.500  0.000
H  0.000  0.000  0.000
Ti  0.000  0.000  0.500



An optimized crystal structure of VHOs2Pt. Source: Alexandria via LeMat-Bulk, functional GGA-PBE.

E_tot   -8.28 eV/atom
Calculated volume   59.2 Å³ per cell
SG   P4/mmm, No. 123

abc: 3.900 3.900 3.890
angles: 90.00 90.00 90.00
Site moments in Bohr magnetons follow the coordinates.
Fractional coordinates of all 5 atoms:
H  0.000  0.000  0.000  0.00
Os  0.500  0.000  0.000  -0.04
Os  0.000  0.500  0.000  -0.04
Pt  0.500  0.500  0.500  -0.01
V  0.000  0.000  0.500  0.22



An optimized crystal structure of YHOsPt2. Source: Alexandria via LeMat-Bulk, functional GGA-PBE.

E_tot   -6.84 eV/atom
Calculated volume   71.4 Å³ per cell
SG   P4/mmm, No. 123

abc: 4.037 4.381 4.037
angles: 90.00 90.00 90.00
Fractional coordinates of all 5 atoms:
Pt  0.000  0.000  0.500
Y  0.000  0.500  0.000
Pt  0.500  0.000  0.000
H  0.000  0.000  0.000
Os  0.500  0.500  0.500



An optimized crystal structure of ZnHOs2Pt. Source: Alexandria via LeMat-Bulk, functional GGA-PBE.

E_tot   -4.27 eV/atom
Calculated volume   112.2 Å³ per cell
SG   P4/mmm, No. 123

abc: 4.827 4.817 4.827
angles: 90.00 90.00 90.00
Site moments in Bohr magnetons follow the coordinates.
Fractional coordinates of all 5 atoms:
H  0.500  0.500  0.500  0.19
Os  0.500  0.000  0.000  1.35
Os  0.000  0.000  0.500  1.45
Pt  0.000  0.000  0.000  0.12
Zn  0.000  0.500  0.000  -0.02



An optimized crystal structure of Pu2HOs. Source: Alexandria via LeMat-Bulk, functional GGA-PBE.

Calculated volume   68.9 Å³ per cell
SG   P4/mmm, No. 123
Polymorph energy (0 for the lowest one)   0.000 eV/f.u.

abc: 3.150 3.150 6.942
angles: 90.00 90.00 90.00
Site moments in Bohr magnetons follow the coordinates.
Fractional coordinates of all 4 atoms:
H  0.500  0.500  0.500  -0.04
Os  0.500  0.500  0.000  -0.55
Pu  0.000  0.000  0.733  5.32
Pu  0.000  0.000  0.267  5.32



An optimized crystal structure of PuH3Os. Source: Alexandria via LeMat-Bulk, functional GGA-PBE.

E_tot   -7.23 eV/atom
Calculated volume   50.2 Å³ per cell
SG   Pm-3m, No. 221

abc: 3.689 3.689 3.689
angles: 90.00 90.00 90.00
Site moments in Bohr magnetons follow the coordinates.
Fractional coordinates of all 5 atoms:
H  0.000  0.000  0.500  -0.01
Pu  0.500  0.500  0.500  5.31
H  0.000  0.500  0.000  -0.01
H  0.500  0.000  0.000  -0.01
Os  0.000  0.000  0.000  -0.08



Number 1: Fermi-level density of states 2.7 states/eV per cell. Number 2: Fermi-level density of states 3.7 states/eV per cell. Number 3: Fermi-level density of states 4.2 states/eV per cell. Number 4: Fermi-level density of states 6.7 states/eV per cell. Number 5: Fermi-level density of states 7.5 states/eV per cell. Number 6: Fermi-level density of states 12.0 states/eV per cell.